A plane-wave DFT calculation with GGA-PBEsol was carried out for an optimized crystal structure of LaTl2P.

## Properties
energy: -4.628 eV per atom
E above lowest polymorph: 0.0000 eV per atom
E_form: -0.528 eV/atom

Cell and atoms, written as CIF:
```
data_LaTl2P
_cell_length_a 4.363
_cell_length_b 3.996
_cell_length_c 6.471
_cell_angle_alpha 90.00
_cell_angle_beta 109.65
_cell_angle_gamma 90.00
_space_group_name_H-M_alt 'P 1 m 1'
_space_group_IT_number 6
loop_
_space_group_symop_operation_xyz
'x,y,z'
'x,-y,z'
loop_
_atom_site_label
_atom_site_type_symbol
_atom_site_fract_x
_atom_site_fract_y
_atom_site_fract_z
La1 La 0.000 0.000 0.000
Tl1 Tl 0.299 0.500 0.603
Tl2 Tl 0.717 0.000 0.437
P1 P 0.528 0.500 0.055
```



A plane-wave DFT calculation with GGA-PBEsol was carried out for an optimized crystal structure of ReIr3.

## Properties
energy: -10.841 eV per atom
E above lowest polymorph: 0.0000 eV per atom
E_form: -0.141 eV/atom

Cell and atoms, written as CIF:
```
data_ReIr3
_cell_length_a 5.4710
_cell_length_b 5.4710
_cell_length_c 4.3570
_cell_angle_alpha 90.00
_cell_angle_beta 90.00
_cell_angle_gamma 120.00
_space_group_name_H-M_alt 'P 63/m m c'
_space_group_IT_number 194
_space_group_name_Hall '-P 6c 2c'
loop_
_atom_site_label
_atom_site_type_symbol
_atom_site_fract_x
_atom_site_fract_y
_atom_site_fract_z
Re1 Re 0.3333 0.6667 0.2500
Ir1 Ir 0.1669 0.3337 0.7500
```